(1)
DFT (SCAN) results for a PBEsol-optimized structure of CuPt2Br.

Unit cell a=5.422 b=9.215 c=3.027 alpha=90.00 beta=123.20 gamma=90.00
Space group C2/m (No. 12)
Symmetry-distinct sites (fractional):
Cu 0.000 0.000 0.000 [2 per cell]
Pt 0.250 0.250 0.500 [4 per cell]
Br 0.000 0.500 0.000 [2 per cell]

Properties
Offset from the most stable computed form (kJ/mol of formula units): 0.0
N(E_F) (states/eV per cell): 5.198

=====

(2)
DFT (SCAN) results for a PBEsol-optimized structure of CuPt2SBr.

Unit cell a=4.794 b=4.794 c=4.037 alpha=90.00 beta=90.00 gamma=90.00
Space group P4/mmm (No. 123)
Symmetry-distinct sites (fractional):
Cu 0.000 0.000 0.000 [1 per cell]
Pt 0.000 0.500 0.000 [2 per cell]
S 0.000 0.000 0.500 [1 per cell]
Br 0.500 0.500 0.500 [1 per cell]

Properties
N(E_F) (states/eV per cell): 7.437

=====

(3)
DFT (SCAN) results for a PBEsol-optimized structure of RbCuBr3.

Unit cell a=5.074 b=5.074 c=5.074 alpha=90.00 beta=90.00 gamma=90.00
Space group Pm-3m (No. 221)
Symmetry-distinct sites (fractional):
Rb 0.000 0.000 0.000 [1 per cell]
Cu 0.500 0.500 0.500 [1 per cell]
Br 0.000 0.500 0.500 [3 per cell]

Properties
N(E_F) (states/eV per cell): 1.598

=====

(4)
DFT (SCAN) results for a PBEsol-optimized structure of RbCu3Br.

Unit cell a=4.945 b=4.945 c=4.945 alpha=90.00 beta=90.00 gamma=90.00
Space group Pm-3m (No. 221)
Symmetry-distinct sites (fractional):
Rb 0.000 0.000 0.000 [1 per cell]
Cu 0.000 0.500 0.500 [3 per cell]
Br 0.500 0.500 0.500 [1 per cell]

Properties
N(E_F) (states/eV per cell): 3.836

=====

| no. | calculated volume (Å³ per atom) | formation energy from raw total energies (eV per atom) | raw total energy (eV/atom) |
| --- | --- | --- | --- |
| 1 | 15.819 | 0.479 | -43.28 |
| 2 | 18.555 | 1.029 | -35.91 |
| 3 | 26.131 | -1.000 | -19.86 |
| 4 | 24.191 | 0.918 | -16.24 |